Entry 1:
First-principles (GGA-PBE) data for a relaxed Cs4K3RbF8 crystal, as listed in Alexandria.

Cell lengths 8.1886, 8.1886, 20.1583 Å; angles 90.00, 90.00, 120.00 degrees
With the nearest neighbours (Å) after each atom.
Space group R-3m (No. 166, hexagonal axes)
Unique sites:
Cs: 0.0000 0.0000 0.0000 x3  6 F 2.96
Cs: 0.0000 0.5000 0.0000 x9  6 F 3.00-3.01
K: 0.0000 0.5000 0.5000 x9  6 F 2.79-2.80
Rb: 0.0000 0.0000 0.5000 x3  6 F 2.85
F: 0.0000 0.0000 0.2414 x6  3 K 2.80, 3 Cs 3.00
F: 0.0066 0.5033 0.7579 x18  2 K 2.79, 1 Rb 2.85, 3 Cs 2.96-3.01

Properties
The value obtained for the uncorrected energy is -195.71 eV per cell. The value obtained for the formation energy from raw total energies is -2.66 eV/atom. The density of states at the Fermi level comes out at 0.0 states/eV per cell. The value obtained for the volume is 24.4 Å³/atom.


Entry 2:
First-principles (GGA-PBE) data for a relaxed Eu2ScH crystal, as listed in Alexandria.

Cell lengths 3.5133, 3.5133, 28.3118 Å; angles 90.00, 90.00, 120.00 degrees
With the nearest neighbours (Å) after each atom.
Space group R-3m (No. 166, hexagonal axes)
Unique sites:
Eu: 0.0000 0.0000 0.1139 x6  3 H 2.52
Sc: 0.0000 0.0000 0.0000 x3  2 Eu 3.22, 6 Sc 3.51
H: 0.0000 0.0000 0.5000 x3  6 Eu 2.52

Properties
The value obtained for the uncorrected energy is -89.73 eV per cell. The density of states at the Fermi level comes out at 15.9 states/eV per cell. The value obtained for the volume is 25.2 Å³/atom.


Entry 3:
First-principles (GGA-PBE) data for a relaxed BaCaNdSm crystal, as listed in Alexandria.

Cell lengths 8.6840, 8.6840, 8.6840 Å; angles 90.00, 90.00, 90.00 degrees
With the nearest neighbours (Å) after each atom.
Space group F-43m (No. 216)
Unique sites:
Ba: 0.0000 0.0000 0.0000 x4  4 Sm 3.76, 4 Ca 3.76
Ca: 0.2500 0.2500 0.7500 x4  4 Ba 3.76, 4 Nd 3.76
Nd: 0.0000 0.0000 0.5000 x4  4 Ca 3.76, 4 Sm 3.76
Sm: 0.2500 0.2500 0.2500 x4  4 Ba 3.76, 4 Nd 3.76

Properties
The value obtained for the uncorrected energy is -50.47 eV per cell. The formation energy comes out at 0.198 eV/atom. The density of states at the Fermi level comes out at 23.6 states/eV per cell. The value obtained for the volume is 40.9 Å³/atom.


Entry 4:
First-principles (GGA-PBE) data for a relaxed Ag4HgSeBr2 crystal, as listed in Alexandria.

Cell lengths 8.1964, 8.3906, 11.3051 Å; angles 90.00, 90.00, 90.00 degrees
With the nearest neighbours (Å) after each atom.
Space group Imma (No. 74)
Unique sites:
Ag: 0.0000 0.0022 0.2416 x8  1 Se 2.73, 3 Br 2.92, 2 Hg 2.95
Ag: 0.2168 0.2500 0.0021 x8  2 Se 2.75, 1 Br 2.82, 1 Hg 2.86
Hg: 0.2500 0.2500 0.7500 x4  6 Ag 2.86-2.95
Se: 0.0000 0.0000 0.0000 x4  6 Ag 2.73-2.75
Br: 0.0000 0.0000 0.5000 x4  6 Ag 2.92-3.13
Br: 0.2500 0.2500 0.2500 x4  6 Ag 2.82-2.92

Properties
The value obtained for the uncorrected energy is -77.61 eV per cell. The value obtained for the formation energy from raw total energies is -0.11 eV/atom. The density of states at the Fermi level comes out at 3.2 states/eV per cell. The value obtained for the volume is 24.3 Å³/atom.


Entry 5:
First-principles (GGA-PBE) data for a relaxed K2HgPdI crystal, as listed in Alexandria.

Cell lengths 6.2947, 6.2947, 5.2806 Å; angles 90.00, 90.00, 90.00 degrees
With the nearest neighbours (Å) after each atom.
Space group P4/mmm (No. 123)
Unique sites:
K: 0.0000 0.5000 0.0000 x2  2 Pd 3.15
Hg: 0.0000 0.0000 0.5000 x1  8 K 4.11, 4 I 4.45
Pd: 0.5000 0.5000 0.0000 x1  2 I 2.64
I: 0.5000 0.5000 0.5000 x1  2 Pd 2.64

Properties
The value obtained for the uncorrected energy is -10.99 eV per cell. The value obtained for the formation energy from raw total energies is -0.35 eV/atom. The density of states at the Fermi level comes out at 2.0 states/eV per cell. The value obtained for the volume is 41.8 Å³/atom.


Entry 6:
First-principles (GGA-PBE) data for a relaxed PaAsW crystal, as listed in Alexandria.

Cell lengths 4.4033, 4.4033, 22.5217 Å; angles 90.00, 90.00, 120.00 degrees
With the nearest neighbours (Å) after each atom.
Space group R-3m (No. 166, hexagonal axes)
Unique sites:
Pa: 0.0000 0.0000 0.1298 x6  3 As 2.99, 3 Pa 3.04, 4 W 3.05-3.35
As: 0.0000 0.0000 0.3931 x6  4 W 2.54-2.58
W: 0.0000 0.0000 0.2786 x6  4 As 2.54-2.58

Properties
The value obtained for the uncorrected energy is -159.11 eV per cell. The formation energy comes out at 0.193 eV/atom. The density of states at the Fermi level comes out at 15.5 states/eV per cell. The value obtained for the volume is 21.0 Å³/atom.


Entry 7:
First-principles (GGA-PBE) data for a relaxed Mg6AgPt2 crystal, as listed in Alexandria.

Cell lengths 4.6478, 4.6478, 8.6171 Å; angles 90.00, 90.00, 120.00 degrees
With the nearest neighbours (Å) after each atom.
Space group P-3m1 (No. 164)
Unique sites:
Mg: 0.0000 0.0000 0.1915 x2  1 Ag 2.66, 3 Pt 2.74, 3 Mg 2.91
Mg: 0.3333 0.6667 0.0612 x2  1 Pt 2.74, 7 Mg 2.88-2.96
Mg: 0.3333 0.6667 0.4047 x2  3 Ag 2.81, 4 Pt 2.92-2.97, 1 Mg 2.96
Ag: 0.0000 0.0000 0.5000 x1  8 Mg 2.66-2.81
Pt: 0.3333 0.6667 0.7435 x2  8 Mg 2.74-2.97

Properties
The value obtained for the uncorrected energy is -28.93 eV per cell. The formation energy comes out at -0.493 eV/atom. The density of states at the Fermi level comes out at 4.0 states/eV per cell. The value obtained for the volume is 17.9 Å³/atom.


Entry 8:
First-principles (GGA-PBE) data for a relaxed ZnReAs2 crystal, as listed in Alexandria.

Cell lengths 5.5424, 7.1779, 3.2514 Å; angles 90.00, 97.53, 90.00 degrees
With the nearest neighbours (Å) after each atom.
Space group C2/m (No. 12)
Unique sites:
Zn: 0.0000 0.0000 0.0000 x2  8 As 2.68-2.89, 2 Re 2.77
Re: 0.0000 0.5000 0.0000 x2  8 As 2.68-2.89, 2 Zn 2.77
As: 0.2500 0.2500 0.5000 x4  4 Re 2.68-2.89, 4 Zn 2.68-2.89, 2 As 2.77

Properties
The value obtained for the uncorrected energy is -42.18 eV per cell. The formation energy comes out at 0.483 eV/atom. The density of states at the Fermi level comes out at 4.9 states/eV per cell. The value obtained for the volume is 16.0 Å³/atom.


Entry 9:
First-principles (GGA-PBE) data for a relaxed NaHfScTi2 crystal, as listed in Alexandria.

Cell lengths 4.7230, 4.7230, 4.8922 Å; angles 90.00, 90.00, 90.00 degrees
With the nearest neighbours (Å) after each atom.
Space group P4/mmm (No. 123)
Unique sites:
Na: 0.0000 0.0000 0.0000 x1  2 Sc 2.45
Hf: 0.5000 0.5000 0.0000 x1  4 Na 3.34, 8 Ti 3.40
Sc: 0.0000 0.0000 0.5000 x1  4 Ti 2.36, 2 Na 2.45
Ti: 0.0000 0.5000 0.5000 x2  2 Sc 2.36

Properties
The value obtained for the uncorrected energy is -27.30 eV per cell. The formation energy comes out at 1.218 eV/atom. The density of states at the Fermi level comes out at 6.7 states/eV per cell. The value obtained for the volume is 21.8 Å³/atom.


Entry 10:
First-principles (GGA-PBE) data for a relaxed RbNpS2 crystal, as listed in Alexandria.

Cell lengths 3.5127, 3.5127, 7.8706 Å; angles 90.00, 90.00, 90.00 degrees
With the nearest neighbours (Å) after each atom.
Space group P4/mmm (No. 123)
Unique sites:
Rb: 0.0000 0.0000 0.0000 x1  8 S 3.44, 4 Rb 3.51
Np: 0.0000 0.0000 0.5000 x1  8 S 2.93
S: 0.5000 0.5000 0.3017 x2  4 Np 2.93, 1 S 3.12

Properties
The value obtained for the uncorrected energy is -26.96 eV per cell. The value obtained for the formation energy from raw total energies is -1.20 eV/atom. The density of states at the Fermi level comes out at 6.2 states/eV per cell. The value obtained for the volume is 24.3 Å³/atom.


Entry 11:
First-principles (GGA-PBE) data for a relaxed NpUPa2 crystal, as listed in Alexandria.

Cell lengths 3.2214, 3.2214, 31.3025 Å; angles 90.00, 90.00, 120.00 degrees
With the nearest neighbours (Å) after each atom.
Space group R-3m (No. 166, hexagonal axes)
Unique sites:
Np: 0.0000 0.0000 0.0000 x3  6 Pa 3.18, 6 Np 3.22
U: 0.0000 0.0000 0.5000 x3  6 U 3.22, 6 Pa 3.23
Pa: 0.0000 0.0000 0.2511 x6  3 Np 3.18, 6 Pa 3.22, 3 U 3.23

Properties
The value obtained for the uncorrected energy is -126.46 eV per cell. The formation energy comes out at 0.267 eV/atom. The density of states at the Fermi level comes out at 34.5 states/eV per cell. The value obtained for the volume is 23.4 Å³/atom.


Entry 12:
First-principles (GGA-PBE) data for a relaxed Hf2CdHg crystal, as listed in Alexandria.

Cell lengths 3.2243, 3.2243, 8.3848 Å; angles 90.00, 90.00, 90.00 degrees
With the nearest neighbours (Å) after each atom.
Space group P4mm (No. 99)
Unique sites:
Hf: 0.0000 0.0000 0.0000 x1  4 Hg 3.08, 8 Hf 3.09-3.22
Hf: 0.5000 0.5000 0.2494 x1  8 Hf 3.09-3.22, 4 Cd 3.15
Cd: 0.0000 0.0000 0.5091 x1  4 Hg 3.06, 4 Hf 3.15, 4 Cd 3.22
Hg: 0.5000 0.5000 0.7524 x1  4 Cd 3.06, 4 Hf 3.08, 4 Hg 3.22

Properties
The value obtained for the uncorrected energy is -21.39 eV per cell. The formation energy comes out at -0.067 eV/atom. The density of states at the Fermi level comes out at 2.8 states/eV per cell. The value obtained for the volume is 21.8 Å³/atom.


Q: uncorrected energy of number 8 (ZnReAs2)?
A: -42.18 eV per cell


Q: uncorrected energy of number 10 (RbNpS2)?
A: -26.96 eV per cell


Q: The highest uncorrected energy belongs to which entry?
A: K2HgPdI